Li2Pr2BiPd5: optimized geometry, PBE.

Lattice parameters (Å, degrees): 9.8349 9.8349 3.8953 90.00 90.00 90.00
Space group P4/mbm (No. 127)
Symmetry-distinct sites (fractional):
Li 0.1164 0.3836 0.0000 x4
Pr 0.1784 0.6784 0.0000 x4
Bi 0.0000 0.0000 0.0000 x2
Pd 0.0000 0.5000 0.5000 x2
Pd 0.0693 0.2183 0.5000 x8

Summary:
The raw total energy is -4.928 eV per atom. For the formation energy from the elements, the calculation gives -0.605 eV per atom. For the volume, the calculation gives 377 Å³/cell. As for the size of the total moment: 0.000 μB per atom.